[1]
# MnTcMoRu2

A relaxed structure of MnTcMoRu2 (PBE, Alexandria).

Properties
- D(E_F): 5.162 states/eV/f.u.
- Space-group type: P4/mmm (123)
- Uncorrected energy: -8.198 eV per atom
- V: 20.0 Å³ per atom
- Energy relative to the elements: 1.586 eV per atom

Structure (POSCAR):
```
MnTcMoRu2
1.0
-0.653 -2.386 3.918
-2.250 -3.304 -2.387
4.004 -2.229 -0.690
Ru Mo Mn Tc
2 1 1 1
direct
0.000 0.000 0.500 Ru
0.500 0.000 0.000 Ru
0.000 0.500 0.000 Mo
0.500 0.500 0.500 Mn
0.000 0.000 0.000 Tc
```

=====

[2]
# MnTcMoRu

A relaxed structure of MnTcMoRu (PBE, Alexandria).

Properties
- D(E_F): 2.892 states/eV/f.u.
- Space-group type: F-43m (216)
- Uncorrected energy: -9.864 eV per atom
- V: 14.5 Å³ per atom
- Energy relative to the elements: 0.047 eV per atom

Structure (POSCAR):
```
MnTcMoRu
1.0
-0.797 -3.252 2.770
2.129 -3.767 -0.401
2.991 -1.130 2.943
Ru Mo Mn Tc
1 1 1 1
direct
0.000 0.000 0.000 Ru
0.250 0.250 0.250 Mo
0.750 0.750 0.750 Mn
0.500 0.500 0.500 Tc
```

=====

[3]
# Mn2V5MoRu2

A relaxed structure of Mn2V5MoRu2 (PBE, Alexandria).

Properties
- D(E_F): 11.979 states/eV/f.u.
- Space-group type: P4/mbm (127)
- Uncorrected energy: -9.203 eV per atom
- V: 13.6 Å³ per atom
- Energy relative to the elements: 0.128 eV per atom

Structure (POSCAR):
```
Mn2V5MoRu2
1.0
-0.463 1.664 -2.582
-8.433 2.552 3.158
3.813 7.480 4.136
Mn V Mo Ru
4 10 2 4
direct
0.000 0.127 0.627 Mn
0.000 0.873 0.373 Mn
0.000 0.627 0.873 Mn
0.000 0.373 0.127 Mn
0.500 0.203 0.066 V
0.500 0.797 0.934 V
0.500 0.066 0.797 V
0.500 0.703 0.434 V
0.500 0.934 0.203 V
0.500 0.297 0.566 V
0.500 0.566 0.703 V
0.500 0.434 0.297 V
0.500 0.500 0.000 V
0.500 0.000 0.500 V
0.000 0.000 0.000 Mo
0.000 0.500 0.500 Mo
0.000 0.672 0.172 Ru
0.000 0.328 0.828 Ru
0.000 0.172 0.328 Ru
0.000 0.828 0.672 Ru
```

=====

[4]
# MnVMoRu

A relaxed structure of MnVMoRu (PBE, Alexandria).

Properties
- D(E_F): 2.645 states/eV/f.u.
- Space-group type: F-43m (216)
- Uncorrected energy: -9.670 eV per atom
- V: 13.8 Å³ per atom
- Energy relative to the elements: -0.071 eV per atom

Structure (POSCAR):
```
MnVMoRu
1.0
4.278 0.000 0.000
2.139 3.705 0.000
2.139 1.235 3.493
Ru Mo Mn V
1 1 1 1
direct
0.000 0.000 0.000 Ru
0.500 0.500 0.500 Mo
0.750 0.750 0.750 Mn
0.250 0.250 0.250 V
```

=====

[5]
# MnMo2RuW

A relaxed structure of MnMo2RuW (PBE, Alexandria).

Properties
- D(E_F): 8.114 states/eV/f.u.
- Space-group type: P4/mmm (123)
- Uncorrected energy: -8.588 eV per atom
- V: 19.3 Å³ per atom
- Energy relative to the elements: 2.024 eV per atom

Structure (POSCAR):
```
MnMo2RuW
1.0
-1.319 3.632 2.658
-3.821 0.177 -2.139
-1.880 -2.961 3.113
Ru Mo Mn W
1 2 1 1
direct
0.500 0.500 0.500 Ru
0.000 0.000 0.500 Mo
0.500 0.000 0.000 Mo
0.000 0.500 0.000 Mn
0.000 0.000 0.000 W
```

=====

[6]
# MnMoRuW2

A relaxed structure of MnMoRuW2 (PBE, Alexandria).

Properties
- D(E_F): 5.604 states/eV/f.u.
- Space-group type: P4/mmm (123)
- Uncorrected energy: -9.697 eV per atom
- V: 17.1 Å³ per atom
- Energy relative to the elements: 1.340 eV per atom

Structure (POSCAR):
```
MnMoRuW2
1.0
-2.187 -1.095 3.695
-2.871 -2.270 -2.372
2.518 -3.622 0.417
Ru Mo Mn W
1 1 1 2
direct
0.500 0.500 0.500 Ru
0.000 0.500 0.000 Mo
0.000 0.000 0.000 Mn
0.000 0.000 0.500 W
0.500 0.000 0.000 W
```

=====

[7]
# ZrMn2MoRu

A relaxed structure of ZrMn2MoRu (PBE, Alexandria).

Properties
- D(E_F): 7.256 states/eV/f.u.
- Space-group type: P4/mmm (123)
- Uncorrected energy: -8.268 eV per atom
- V: 18.1 Å³ per atom
- Energy relative to the elements: 1.131 eV per atom

Structure (POSCAR):
```
ZrMn2MoRu
1.0
-0.392 -2.283 -3.723
-3.864 -2.106 1.699
-2.484 3.191 -1.695
Ru Mo Mn Zr
1 1 2 1
direct
0.000 0.000 0.000 Ru
0.000 0.500 0.000 Mo
0.000 0.000 0.500 Mn
0.500 0.000 0.000 Mn
0.500 0.500 0.500 Zr
```

=====

[8]
# Mn2MoS

A relaxed structure of Mn2MoS (PBE, Alexandria).

Properties
- D(E_F): 2.157 states/eV/f.u.
- Space-group type: I-42d (122)
- ΔE_f (raw): 0.96 eV/f.u.
- Uncorrected energy: -8.085 eV per atom
- V: 13.8 Å³ per atom

Structure (POSCAR):
```
Mn2MoS
1.0
-0.477 4.389 -4.970
-3.203 -4.515 -3.680
-4.020 0.737 -3.409
Mo Mn S
2 4 2
direct
0.000 0.000 0.000 Mo
0.750 0.250 0.500 Mo
0.576 0.125 0.250 Mn
0.174 0.625 0.250 Mn
0.375 0.424 0.750 Mn
0.875 0.826 0.750 Mn
0.500 0.500 0.000 S
0.250 0.750 0.500 S
```

=====

[9]
# MnMo3S

A relaxed structure of MnMo3S (PBE, Alexandria).

Properties
- Relative energy among the computed polymorphs: 0.0 meV/atom
- D(E_F): 6.028 states/eV/f.u.
- Space-group type: Pm-3m (221)
- ΔE_f (raw): 4.35 eV/f.u.
- Uncorrected energy: -8.287 eV per atom
- V: 16.6 Å³ per atom

Structure (POSCAR):
```
MnMo3S
1.0
4.364 0.000 0.000
0.000 4.364 0.000
0.000 0.000 4.364
Mo Mn S
3 1 1
direct
0.000 0.500 0.000 Mo
0.000 0.000 0.500 Mo
0.500 0.000 0.000 Mo
0.500 0.500 0.500 Mn
0.000 0.000 0.000 S
```

=====

[10]
# Mn3MoS

A relaxed structure of Mn3MoS (PBE, Alexandria).

Properties
- Relative energy among the computed polymorphs: 0.0 meV/atom
- D(E_F): 8.630 states/eV/f.u.
- Space-group type: Pm-3m (221)
- ΔE_f (raw): 2.55 eV/f.u.
- Uncorrected energy: -7.983 eV per atom
- V: 13.7 Å³ per atom

Structure (POSCAR):
```
Mn3MoS
1.0
-2.203 -2.984 1.724
1.428 -2.653 -2.767
3.137 -0.888 2.471
Mo Mn S
1 3 1
direct
0.500 0.500 0.500 Mo
0.000 0.500 0.000 Mn
0.000 0.000 0.500 Mn
0.500 0.000 0.000 Mn
0.000 0.000 0.000 S
```

=====

[11]
# MnMo2S

A relaxed structure of MnMo2S (PBE, Alexandria).

Properties
- D(E_F): 1.587 states/eV/f.u.
- Space-group type: I-42d (122)
- ΔE_f (raw): 2.71 eV/f.u.
- Uncorrected energy: -8.062 eV per atom
- V: 18.2 Å³ per atom

Structure (POSCAR):
```
MnMo2S
1.0
5.766 0.000 0.000
0.000 5.766 0.000
2.883 2.883 4.377
Mo Mn S
4 2 2
direct
0.627 0.125 0.250 Mo
0.123 0.625 0.250 Mo
0.375 0.373 0.750 Mo
0.875 0.877 0.750 Mo
0.000 0.000 0.000 Mn
0.750 0.250 0.500 Mn
0.500 0.500 0.000 S
0.250 0.750 0.500 S
```

=====

[12]
# Mn3MoS

A relaxed structure of Mn3MoS (PBE, Alexandria).

Properties
- Relative energy among the computed polymorphs: 882.7 meV/atom
- D(E_F): 5.623 states/eV/f.u.
- Space-group type: Pm-3m (221)
- ΔE_f (raw): 6.96 eV/f.u.
- Uncorrected energy: -7.101 eV per atom
- V: 20.1 Å³ per atom

Structure (POSCAR):
```
Mn3MoS
1.0
4.646 0.000 0.000
0.000 4.646 0.000
0.000 0.000 4.646
Mo Mn S
1 3 1
direct
0.000 0.000 0.000 Mo
0.000 0.500 0.000 Mn
0.000 0.000 0.500 Mn
0.500 0.000 0.000 Mn
0.500 0.500 0.500 S
```